Compound: Al4Ag3
Source: the Alexandria database
Functional: SCAN
Structure: PBEsol geometry

Cell and atoms, written as POSCAR:
```
Al4Ag3
1.0
-1.091 2.441 -0.975
-1.864 0.027 2.151
10.608 5.972 7.234
Ag Al
3 4
direct
0.925 0.925 0.851
0.075 0.075 0.149
0.500 0.500 0.000
0.358 0.358 0.716
0.214 0.214 0.427
0.786 0.786 0.573
0.642 0.642 0.284
```

Space group: I4/mmm, No. 139
Excess energy over the best structure of this formula in the dataset: 48 meV/atom
Spin magnetization: 0.03 Bohr magnetons per cell
Calculated formation energy: -0.036 eV/atom

---

Compound: KAgP2O6
Source: the Alexandria database
Functional: SCAN
Structure: PBEsol geometry

Cell and atoms, written as POSCAR:
```
KAgP2O6
1.0
-1.967 0.079 5.669
-3.068 -6.637 -1.665
10.945 -6.033 3.882
O K Ag P
24 4 4 8
direct
0.734 0.331 0.377
0.266 0.169 0.877
0.677 0.147 0.169
0.791 0.367 0.025
0.323 0.853 0.831
0.867 0.457 0.206
0.541 0.091 0.649
0.209 0.633 0.975
0.082 0.064 0.143
0.133 0.043 0.706
0.918 0.436 0.643
0.323 0.353 0.669
0.133 0.543 0.794
0.459 0.909 0.351
0.266 0.669 0.623
0.677 0.647 0.331
0.082 0.564 0.357
0.791 0.867 0.475
0.541 0.591 0.851
0.209 0.133 0.525
0.867 0.957 0.294
0.918 0.936 0.857
0.734 0.831 0.123
0.459 0.409 0.149
0.703 0.271 0.828
0.297 0.229 0.328
0.703 0.771 0.672
0.297 0.729 0.172
0.187 0.806 0.473
0.187 0.306 0.027
0.813 0.194 0.527
0.813 0.694 0.973
0.150 0.006 0.828
0.688 0.852 0.370
0.850 0.494 0.328
0.312 0.648 0.870
0.312 0.148 0.630
0.850 0.994 0.172
0.150 0.506 0.672
0.688 0.352 0.130
```

Uncorrected formation energy: -2.135 eV/atom
Space group: P2_1/c, No. 14
Spin magnetization: 0.00 Bohr magnetons per cell

---

Compound: V2H
Source: the Alexandria database
Functional: SCAN
Structure: PBEsol geometry

Cell and atoms, written as POSCAR:
```
V2H
1.0
-1.134 -5.145 -0.175
3.135 1.560 -3.940
4.237 -3.072 0.631
V H
8 4
direct
0.752 0.856 0.392
0.752 0.896 0.856
0.248 0.392 0.856
0.252 0.858 0.394
0.248 0.856 0.896
0.748 0.354 0.394
0.252 0.394 0.354
0.748 0.394 0.858
0.250 0.125 0.625
0.750 0.125 0.125
0.250 0.125 0.125
0.750 0.625 0.125
```

Space group: I4_1/amd, No. 141
Spin magnetization: 0.00 Bohr magnetons per cell
VASP energy: -39.0 eV per formula unit

---

Compound: MgSc2Se4
Source: the Alexandria database
Functional: SCAN
Structure: PBEsol geometry

Cell and atoms, written as POSCAR:
```
MgSc2Se4
1.0
7.849 0.000 0.000
3.924 6.797 0.000
3.924 2.266 6.408
Sc Se Mg
4 8 2
direct
0.125 0.125 0.625
0.125 0.625 0.125
0.125 0.125 0.125
0.625 0.125 0.125
0.883 0.351 0.883
0.883 0.883 0.883
0.367 0.367 0.899
0.367 0.367 0.367
0.883 0.883 0.351
0.899 0.367 0.367
0.367 0.899 0.367
0.351 0.883 0.883
0.500 0.500 0.500
0.750 0.750 0.750
```

Uncorrected formation energy: -1.807 eV/atom
Space group: Fd-3m, No. 227
Excess energy over the best structure of this formula in the dataset: 0 meV/atom
Spin magnetization: 0.00 Bohr magnetons per cell

---

Calculated calculated density (g/cm3), listed in the same order as above: 6.3; 3.5; 6.1; 4.2